[1]
DFT (PBE) results for a geometry-optimized DyHo2Ge2Pt7 structure.

Calculated values
As for the space group: C2/m, No. 12.

abc: 4.0481 4.0481 14.0683
angles: 96.80 96.80 89.41
Fractional positions:
Dy  0.0000  0.0000  0.0000
Ho  0.1300  0.1300  0.3586
Ho  0.8700  0.8700  0.6414
Ge  0.3931  0.3931  0.7403
Ge  0.6069  0.6069  0.2597
Pt  0.0649  0.5647  0.1561
Pt  0.3577  0.3577  0.5664
Pt  0.4353  0.9351  0.8439
Pt  0.5000  0.5000  0.0000
Pt  0.5647  0.0649  0.1561
Pt  0.6423  0.6423  0.4336
Pt  0.9351  0.4353  0.8439



[2]
DFT (PBE) results for a geometry-optimized Er3Mg2Rh3 structure.

Calculated values
As for the energy above the lowest structure with this stoichiometry: 23.8 meV per atom. As for the space group: Immm, No. 71.

abc: 10.4961 10.4961 10.4961
angles: 161.75 153.29 32.55
Fractional positions:
Er  0.0000  0.0000  0.0000
Er  0.3812  0.8812  0.5000
Er  0.6188  0.1188  0.5000
Mg  0.2268  0.2268  0.0000
Mg  0.7732  0.7732  0.0000
Rh  0.1190  0.6190  0.5000
Rh  0.5000  0.5000  0.0000
Rh  0.8810  0.3810  0.5000



Sequential ΔH_f (0 K) output: -0.988, -0.679 eV per atom
Sequential magnetic moment output: 0.00, 0.00 μB/cell